Material: LaCdRe
Method: DFT, PBE
State: relaxed

Geometry as POSCAR:
```
LaCdRe
1.0
0.0000 3.3520 3.3520
3.3520 0.0000 3.3520
3.3520 3.3520 0.0000
La Cd Re
1 1 1
Direct
0.0000 0.0000 0.0000
0.5000 0.5000 0.5000
0.7500 0.7500 0.7500
```

As for the total magnetization: 0.00 μB/atom. The calculated formation energy comes out at 0.714 eV/atom. The calculated volume is 75.32 Å³ per cell. The calculation puts the offset from the most stable computed form at 0 meV per atom. As for the space group: F-43m, No. 216.


Material: La2CdS4
Method: DFT, PBE
State: relaxed

Geometry as POSCAR:
```
La2CdS4
1.0
0.0000 5.8715 5.8715
5.8715 0.0000 5.8715
5.8715 5.8715 0.0000
La Cd S
4 2 8
Direct
0.0000 0.0000 0.0000
0.0000 0.0000 0.5000
0.0000 0.5000 0.0000
0.5000 0.0000 0.0000
0.3750 0.3750 0.3750
0.6250 0.6250 0.6250
0.2370 0.7543 0.7543
0.2457 0.2457 0.2457
0.2457 0.2457 0.7630
0.2457 0.7630 0.2457
0.7543 0.2370 0.7543
0.7543 0.7543 0.2370
0.7543 0.7543 0.7543
0.7630 0.2457 0.2457
```

As for the total magnetization: 0.00 μB/atom. For the raw total energy, the calculation gives -5.56 eV per atom. The calculated volume is 404.84 Å³ per cell. As for the space group: Fd-3m, No. 227.